[1]
Material: Sb2PdRuI
Method: DFT, PBE
State: optimized geometry

## Properties
E_form (uncorrected)	628	meV per atom
space-group type	No. 123

```
Sb2PdRuI
1.0
-4.713 -1.471 0.768
1.509 -2.839 3.825
-0.779 4.340 3.528
Ru I Sb Pd
1 1 2 1
Cartesian
0.000 0.000 0.000 Ru
-0.390 2.170 1.764 I
0.754 -1.419 1.912 Sb
-2.356 -0.735 0.384 Sb
-1.992 0.015 4.061 Pd
```

[2]
Material: Sc12TiTl3
Method: DFT, PBE
State: optimized geometry

## Properties
space-group type	No. 123
VASP energy	-93.06	eV per formula unit

```
Sc12TiTl3
1.0
-2.125 -0.603 -3.921
-3.835 -0.824 2.205
-4.099 17.720 -0.504
Ti Sc Tl
1 12 3
Cartesian
0.000 0.000 0.000 Ti
-4.007 3.724 -0.984 Sc
-3.453 6.225 0.914 Sc
-5.030 8.146 -1.110 Sc
-3.626 10.781 -2.275 Sc
-2.980 -0.714 -0.858 Sc
-1.557 1.836 -2.021 Sc
-5.522 15.170 0.660 Sc
-2.412 1.726 1.042 Sc
-6.053 12.568 -1.235 Sc
-4.481 10.670 0.788 Sc
-4.667 15.280 -2.403 Sc
-2.598 6.336 -2.149 Sc
-1.025 4.429 -0.126 Tl
-3.075 13.291 -0.378 Tl
-2.050 8.860 -0.252 Tl
```

[3]
Material: Fe2SCl8
Method: DFT, PBE
State: optimized geometry

## Properties
E_form (uncorrected)	-447	meV per atom
space-group type	No. 12

```
Fe2SCl8
1.0
-2.363 -4.670 -5.209
-4.721 -2.644 4.876
-4.529 5.233 -2.273
Fe Cl S
2 8 1
Cartesian
-9.241 -1.690 -2.110 Fe
-2.372 -0.393 -0.497 Fe
-6.676 -2.339 2.370 Cl
-4.937 0.256 -4.976 Cl
-6.552 2.762 -2.259 Cl
-5.061 -4.844 -0.347 Cl
-7.137 -1.992 -2.387 Cl
-4.476 -0.091 -0.221 Cl
-7.711 1.467 1.409 Cl
-3.903 -3.549 -4.015 Cl
-2.363 -4.670 -5.209 S
```

[4]
Material: Cu2Pd7Au2
Method: DFT, PBE
State: optimized geometry

## Properties
space-group type	No. 12
VASP energy	-50.04	eV per formula unit

```
Cu2Pd7Au2
1.0
-6.585 2.407 -1.495
-1.617 -4.895 1.843
1.344 4.130 3.332
Pd Cu Au
7 2 2
Cartesian
-0.547 2.330 3.753 Pd
-4.095 0.804 3.268 Pd
-4.709 4.194 0.733 Pd
-2.149 -2.552 2.947 Pd
-2.763 0.838 0.413 Pd
0.000 0.000 0.000 Pd
-6.311 -0.688 -0.072 Pd
-2.714 3.002 2.200 Cu
-4.144 -1.360 1.480 Cu
-5.375 1.604 0.968 Au
-1.483 0.039 2.713 Au
```

[5]
Material: CaNpTl2O6
Method: DFT, PBE
State: optimized geometry

## Properties
E_form (uncorrected)	-1976	meV per atom
space-group type	No. 14

```
CaNpTl2O6
1.0
6.107 0.000 -0.028
0.000 6.127 0.000
0.014 0.000 8.649
O Ca Tl Np
12 2 4 2
Cartesian
4.852 4.614 8.346 O
3.428 0.022 2.315 O
4.591 1.771 8.357 O
0.381 3.041 6.653 O
1.791 4.576 4.036 O
4.330 1.550 4.585 O
1.269 1.513 0.274 O
1.530 1.292 4.047 O
1.531 4.355 0.263 O
2.693 6.105 6.306 O
5.740 3.085 1.967 O
4.591 4.835 4.574 O
3.053 0.000 -0.014 Ca
0.007 3.063 4.324 Ca
6.095 0.050 6.460 Tl
0.027 6.076 2.160 Tl
3.034 3.013 2.150 Tl
3.087 3.113 6.471 Tl
0.000 3.063 0.000 Np
3.061 0.000 4.310 Np
```

[6]
Material: MgAgTe
Method: DFT, PBE
State: optimized geometry

## Properties
E_form (uncorrected)	-68	meV per atom
space-group type	No. 156

```
MgAgTe
1.0
-2.002 -1.158 -2.693
3.476 0.541 -0.477
1.198 -6.151 1.753
Te Ag Mg
1 1 1
Cartesian
2.443 -4.099 -0.054 Te
0.024 -0.121 0.034 Ag
0.205 -2.547 -1.397 Mg
```

[7]
Material: IrPt2Rh6
Method: DFT, PBE
State: optimized geometry

## Properties
space-group type	No. 12
VASP energy	-63.42	eV per formula unit

```
IrPt2Rh6
1.0
4.466 0.000 0.000
-2.233 3.976 0.103
0.000 -1.402 7.661
Rh Ir Pt
6 1 2
Cartesian
2.233 2.318 6.424 Rh
0.000 1.947 3.430 Rh
2.233 0.628 4.333 Rh
0.000 0.978 5.904 Rh
2.233 1.596 1.860 Rh
0.000 0.256 1.340 Rh
0.000 -0.701 3.830 Ir
2.233 -0.307 6.882 Pt
0.000 2.881 0.881 Pt
```

[8]
Material: KB4H12
Method: DFT, PBE
State: optimized geometry

## Properties
space-group type	No. 229
VASP energy	-59.20	eV per formula unit

```
KB4H12
1.0
-3.154 3.421 -2.447
-2.875 -3.133 3.092
3.494 2.621 2.926
K B H
1 4 12
Cartesian
0.000 0.000 0.000 K
1.747 1.311 1.463 B
-1.268 1.455 1.785 B
-1.577 1.711 -1.223 B
-1.438 -1.566 1.546 B
-4.298 0.080 2.041 H
0.546 1.192 4.575 H
-1.056 1.261 3.278 H
-1.126 2.967 1.838 H
1.763 2.829 1.529 H
-1.316 4.543 0.522 H
0.250 1.438 1.692 H
-2.785 1.472 1.879 H
-3.081 1.717 -1.004 H
-1.479 1.649 0.292 H
-1.409 -0.058 1.732 H
-1.219 -1.634 3.049 H
```

Computed magnetic moment, in the same sequence as the records: 0.0; 3.4; 10.0; 0.0; 0.0; 0.0; 0.0; 0.0 Bohr magnetons per cell.